Entry 1:
# SCAN KI2BrO, single point on PBEsol structure
# Polymorph energy (0 for the lowest one)   0.0 meV/atom
data_KI2BrO
_cell_length_a 6.015
_cell_length_b 6.015
_cell_length_c 4.022
_cell_angle_alpha 90.00
_cell_angle_beta 90.00
_cell_angle_gamma 90.00
_space_group_name_H-M_alt 'P 4/m m m'
_space_group_IT_number 123
_space_group_name_Hall '-P 4 2'
loop_
_atom_site_label
_atom_site_type_symbol
_atom_site_fract_x
_atom_site_fract_y
_atom_site_fract_z
_atom_site_occupancy
K1 K 0.000 0.000 0.000 1
I1 I 0.000 0.500 0.500 1
Br1 Br 0.500 0.500 0.500 1
O1 O 0.500 0.500 0.000 1


Entry 2:
A PBEsol-optimized structure of LaSe2IBr, computed with SCAN.

```
data_LaSe2IBr
_cell_length_a 5.838
_cell_length_b 5.838
_cell_length_c 5.628
_cell_angle_alpha 90.00
_cell_angle_beta 90.00
_cell_angle_gamma 90.00
_space_group_name_H-M_alt 'P 4/m m m'
_space_group_IT_number 123
_space_group_name_Hall '-P 4 2'
loop_
_atom_site_label
_atom_site_type_symbol
_atom_site_fract_x
_atom_site_fract_y
_atom_site_fract_z
_atom_site_occupancy
La1 La 0.000 0.000 0.000 1
Se1 Se 0.000 0.500 0.000 1
I1 I 0.500 0.500 0.500 1
Br1 Br 0.000 0.000 0.500 1
```


Entry 3:
# SCAN Li2IBr2, single point on PBEsol structure
# Polymorph energy (0 for the lowest one)   163.1 meV/atom
data_Li2IBr2
_cell_length_a 9.359
_cell_length_b 9.359
_cell_length_c 3.289
_cell_angle_alpha 90.00
_cell_angle_beta 90.00
_cell_angle_gamma 90.00
_space_group_name_H-M_alt 'P 4/m b m'
_space_group_IT_number 127
_space_group_name_Hall '-P 4 2ab'
loop_
_atom_site_label
_atom_site_type_symbol
_atom_site_fract_x
_atom_site_fract_y
_atom_site_fract_z
_atom_site_occupancy
Li1 Li 0.099 0.401 0.000 1
I1 I 0.000 0.000 0.500 1
Br1 Br 0.125 0.625 0.500 1


Entry 4:
A PBEsol-optimized structure of Li3IBr, computed with SCAN.

```
data_Li3IBr
_cell_length_a 5.028
_cell_length_b 5.028
_cell_length_c 5.028
_cell_angle_alpha 90.00
_cell_angle_beta 90.00
_cell_angle_gamma 90.00
_space_group_name_H-M_alt 'P m -3 m'
_space_group_IT_number 221
_space_group_name_Hall '-P 4 2 3'
loop_
_atom_site_label
_atom_site_type_symbol
_atom_site_fract_x
_atom_site_fract_y
_atom_site_fract_z
_atom_site_occupancy
Li1 Li 0.000 0.000 0.500 1
I1 I 0.500 0.500 0.500 1
Br1 Br 0.000 0.000 0.000 1
```


Entry 5:
# SCAN LiIBr2, single point on PBEsol structure
# Polymorph energy (0 for the lowest one)   387.7 meV/atom
data_LiIBr2
_cell_length_a 7.722
_cell_length_b 7.722
_cell_length_c 7.091
_cell_angle_alpha 90.00
_cell_angle_beta 90.00
_cell_angle_gamma 90.00
_space_group_name_H-M_alt 'I -4 2 d'
_space_group_IT_number 122
_space_group_name_Hall 'I -4 2bw'
loop_
_atom_site_label
_atom_site_type_symbol
_atom_site_fract_x
_atom_site_fract_y
_atom_site_fract_z
_atom_site_occupancy
Li1 Li 0.000 0.000 0.000 1
I1 I 0.000 0.000 0.500 1
Br1 Br 0.181 0.250 0.125 1


Entry 6:
# SCAN LiIBr2, single point on PBEsol structure
# Polymorph energy (0 for the lowest one)   0.0 meV/atom
data_LiIBr2
_cell_length_a 4.1657
_cell_length_b 4.1657
_cell_length_c 24.1587
_cell_angle_alpha 90.00
_cell_angle_beta 90.00
_cell_angle_gamma 120.00
_space_group_name_H-M_alt 'R -3 m'
_space_group_IT_number 166
_space_group_name_Hall '-R 3 2"'
loop_
_atom_site_label
_atom_site_type_symbol
_atom_site_fract_x
_atom_site_fract_y
_atom_site_fract_z
_atom_site_occupancy
Li1 Li 0.0000 0.0000 0.0000 1
I1 I 0.0000 0.0000 0.5000 1
Br1 Br 0.0000 0.0000 0.3880 1


The calculation returns the following uncorrected formation energy values, one per record and in order: -233; -702; -937; -818; -455; -843 meV per atom.
The calculation returns the following final energy values, one per record and in order: -21.73; -28.59; -17.03; -13.49; -19.97; -20.36 eV/atom.